# NpBe2NiO6, relaxed, DFT GGA+U
data_NpBe2NiO6
_chemical_formula_sum 'Np4 Be8 Ni4 O24'
_cell_length_a 9.318
_cell_length_b 8.865
_cell_length_c 5.017
_cell_angle_alpha 90.00
_cell_angle_beta 101.79
_cell_angle_gamma 90.00
_space_group_name_H-M_alt 'C 1 2/c 1'
_space_group_IT_number 15
loop_
_space_group_symop_operation_xyz
'x,y,z'
'-x,-y,-z'
'-x,y,-z+1/2'
'x,-y,z+1/2'
'x+1/2,y+1/2,z'
'-x+1/2,-y+1/2,-z'
'-x+1/2,y+1/2,-z+1/2'
'x+1/2,-y+1/2,z+1/2'
loop_
_atom_site_label
_atom_site_fract_x
_atom_site_fract_y
_atom_site_fract_z
Np1 0.000 0.216 0.250
Be1 0.199 0.080 0.809
Ni1 0.000 0.413 0.750
O1 0.119 0.229 0.626
O2 0.122 0.406 0.134
O3 0.145 0.064 0.104
# E_tot in eV per cell: -304.99